Entry 1:
DFT (GGA-PBEsol) results for crystalline NdPb7F17 at its relaxed geometry.

Calculated values
E_tot	-5.26	eV per atom
formation energy without anion corrections	-2.6247	eV/atom

a b c (Å): 4.112 4.113 27.550
angles (deg): 85.73 85.72 60.03
Element x y z (fractional)
Nd 0.000 0.000 0.000
Pb 0.124 0.121 0.631
Pb 0.249 0.244 0.255
Pb 0.373 0.374 0.882
Pb 0.500 0.494 0.506
Pb 0.624 0.622 0.128
Pb 0.748 0.749 0.757
Pb 0.875 0.868 0.380
F 0.029 0.031 0.913
F 0.092 0.092 0.725
F 0.156 0.150 0.538
F 0.219 0.213 0.347
F 0.281 0.279 0.158
F 0.334 0.334 0.998
F 0.404 0.404 0.791
F 0.469 0.465 0.599
F 0.531 0.525 0.412
F 0.593 0.588 0.224
F 0.653 0.652 0.042
F 0.682 0.684 0.956
F 0.718 0.719 0.848
F 0.781 0.778 0.662
F 0.844 0.838 0.474
F 0.905 0.900 0.287
F 0.970 0.970 0.089



Entry 2:
DFT (GGA-PBEsol) results for crystalline CsZn2Hg2 at its relaxed geometry.

Calculated values
E_tot	-1.07	eV per atom
E_form	-0.10	eV/f.u.

a b c (Å): 4.281 4.281 15.364
angles (deg): 90.00 90.00 90.00
Element x y z (fractional)
Cs 0.000 0.000 0.000
Cs 0.500 0.500 0.500
Zn 0.000 0.500 0.250
Zn 0.000 0.500 0.750
Zn 0.500 0.000 0.250
Zn 0.500 0.000 0.750
Hg 0.000 0.000 0.361
Hg 0.000 0.000 0.639
Hg 0.500 0.500 0.139
Hg 0.500 0.500 0.861



Entry 3:
DFT (GGA-PBEsol) results for crystalline Ta2W at its relaxed geometry.

Calculated values
E_tot	-13.04	eV per atom
E_form	-0.22	eV/f.u.
relative energy among the computed polymorphs	0	meV per atom

a b c (Å): 3.223 3.223 9.741
angles (deg): 90.00 90.00 90.00
Element x y z (fractional)
Ta 0.000 0.000 0.161
Ta 0.000 0.000 0.839
Ta 0.500 0.500 0.339
Ta 0.500 0.500 0.661
W 0.000 0.000 0.500
W 0.500 0.500 0.000



Entry 4:
DFT (GGA-PBEsol) results for crystalline Be2Ni at its relaxed geometry.

Calculated values
E_tot	-5.05	eV per atom
E_form	-1.00	eV/f.u.

a b c (Å): 2.597 2.597 7.473
angles (deg): 90.00 90.00 90.00
Element x y z (fractional)
Be 0.000 0.000 0.168
Be 0.000 0.000 0.832
Be 0.500 0.500 0.332
Be 0.500 0.500 0.668
Ni 0.000 0.000 0.500
Ni 0.500 0.500 0.000